Record 1
Computed, not measured: a relaxed structure of HfAgNF2 at the PBE-GGA level of DFT.

The space group is P4/mmm (No. 123) and the conventional cell measures 4.155, 4.155 and 4.229 Å, with angles of 90.00, 90.00 and 90.00 degrees. The inequivalent atoms are Hf at (0.000, 0.000, 0.000), Ag at (0.500, 0.500, 0.500), N at (0.500, 0.500, 0.000) and F at (0.000, 0.500, 0.500).

Its density of states at the Fermi level is 3.83 states/eV/cell. The offset from the most stable computed form is 8.63 eV per formula unit. As for the formation energy without anion corrections: 0.022 eV/atom. As for the total energy: -24.8 eV per formula unit. The calculation puts the total moment at 0.000 Bohr magnetons per cell.



Record 2
Computed, not measured: a relaxed structure of HfAgNF2 at the PBE-GGA level of DFT.

The space group is P4/mmm (No. 123) and the conventional cell measures 4.154, 4.154 and 4.222 Å, with angles of 90.00, 90.00 and 90.00 degrees. The inequivalent atoms are Hf at (0.000, 0.000, 0.000), Ag at (0.500, 0.500, 0.500), N at (0.000, 0.000, 0.500) and F at (0.000, 0.500, 0.000).

Its density of states at the Fermi level is 0.82 states/eV/cell. The offset from the most stable computed form is 0.00 eV per formula unit. As for the formation energy without anion corrections: -1.704 eV/atom. As for the total energy: -33.4 eV per formula unit. The calculation puts the total moment at 0.000 Bohr magnetons per cell.



Record 3
Computed, not measured: a relaxed structure of NaHfAg2F8 at the PBE-GGA level of DFT.

The space group is P2/m (No. 10) and the conventional cell measures 5.096, 7.150 and 5.467 Å, with angles of 90.00, 95.10 and 90.00 degrees. The inequivalent atoms are Na at (0.000, 0.000, 0.000), Hf at (0.000, 0.500, 0.000), Ag at (0.500, 0.245, 0.500), F at (0.190, 0.295, 0.841), F at (0.279, 0.500, 0.294) and F at (0.306, 0.000, 0.318).

Its density of states at the Fermi level is 2.13 states/eV/cell. As for the formation energy without anion corrections: -2.515 eV/atom. As for the total energy: -62.1 eV per formula unit. The calculation puts the total moment at 1.028 Bohr magnetons per cell.



Record 4
Computed, not measured: a relaxed structure of HfAgO2F at the PBE-GGA level of DFT.

The space group is P4/mmm (No. 123) and the conventional cell measures 4.104, 4.104 and 4.164 Å, with angles of 90.00, 90.00 and 90.00 degrees. The inequivalent atoms are Hf at (0.000, 0.000, 0.000), Ag at (0.500, 0.500, 0.500), O at (0.000, 0.500, 0.000) and F at (0.000, 0.000, 0.500).

As for the formation energy without anion corrections: -2.390 eV/atom. As for the total energy: -36.5 eV per formula unit. The calculation puts the total moment at 0.000 Bohr magnetons per cell.



Record 5
Computed, not measured: a relaxed structure of HfAgO2F at the PBE-GGA level of DFT.

The space group is P4/mmm (No. 123) and the conventional cell measures 4.115, 4.115 and 4.155 Å, with angles of 90.00, 90.00 and 90.00 degrees. The inequivalent atoms are Hf at (0.000, 0.000, 0.000), Ag at (0.500, 0.500, 0.500), O at (0.000, 0.500, 0.500) and F at (0.500, 0.500, 0.000).

Its density of states at the Fermi level is 3.75 states/eV/cell. As for the formation energy without anion corrections: -0.362 eV/atom. As for the total energy: -26.4 eV per formula unit. The calculation puts the total moment at 0.002 Bohr magnetons per cell.



Record 6
Computed, not measured: a relaxed structure of HfAg2OsF at the PBE-GGA level of DFT.

The space group is P4/mmm (No. 123) and the conventional cell measures 5.176, 5.176 and 3.835 Å, with angles of 90.00, 90.00 and 90.00 degrees. The inequivalent atoms are Hf at (0.000, 0.000, 0.000), Ag at (0.000, 0.500, 0.000), Os at (0.500, 0.500, 0.500) and F at (0.000, 0.000, 0.500).

Its density of states at the Fermi level is 5.97 states/eV/cell. As for the formation energy without anion corrections: 0.697 eV/atom. As for the total energy: -25.3 eV per formula unit. The calculation puts the total moment at 0.000 Bohr magnetons per cell.